# 1
# La3Sn PBE-GGA optimized geometry
# - distance to the lowest polymorph of the same formula (meV per atom) = 41
data_La3Sn
_chemical_formula_sum 'La3 Sn1'
_cell_length_a 6.2676
_cell_length_b 6.2676
_cell_length_c 6.2676
_cell_angle_alpha 133.37
_cell_angle_beta 133.37
_cell_angle_gamma 68.07
_symmetry_space_group_name_H-M 'P 1'
_symmetry_Int_Tables_number 1
loop_
_symmetry_equiv_pos_as_xyz
'x,y,z'
loop_
_atom_site_label
_atom_site_fract_x
_atom_site_fract_y
_atom_site_fract_z
_atom_site_occupancy
La1 0.0000 0.0000 0.0000 1
La2 0.2500 0.7500 0.5000 1
La3 0.7500 0.2500 0.5000 1
Sn1 0.5000 0.5000 0.0000 1

# 2
La3Sn7 | PBE-GGA | optimized geometry

```
data_La3Sn7
_chemical_formula_sum 'La3 Sn7'
_cell_length_a 13.4626
_cell_length_b 13.4626
_cell_length_c 4.6944
_cell_angle_alpha 90.00
_cell_angle_beta 90.00
_cell_angle_gamma 160.31
_symmetry_space_group_name_H-M 'P 1'
_symmetry_Int_Tables_number 1
loop_
_symmetry_equiv_pos_as_xyz
'x,y,z'
loop_
_atom_site_label
_atom_site_fract_x
_atom_site_fract_y
_atom_site_fract_z
_atom_site_occupancy
La1 0.0000 0.0000 0.0000 1
La2 0.1844 0.8156 0.0000 1
La3 0.8156 0.1844 0.0000 1
Sn1 0.0957 0.9043 0.5000 1
Sn2 0.2880 0.7120 0.5000 1
Sn3 0.4052 0.5948 0.0000 1
Sn4 0.5000 0.5000 0.5000 1
Sn5 0.5948 0.4052 0.0000 1
Sn6 0.7120 0.2880 0.5000 1
Sn7 0.9043 0.0957 0.5000 1
```

# 3
# La4Sn PBE-GGA optimized geometry
# - distance to the lowest polymorph of the same formula (meV per atom) = 114
data_La4Sn
_chemical_formula_sum 'La8 Sn2'
_cell_length_a 7.2131
_cell_length_b 6.9975
_cell_length_c 7.5904
_cell_angle_alpha 90.00
_cell_angle_beta 105.09
_cell_angle_gamma 90.00
_symmetry_space_group_name_H-M 'P 1'
_symmetry_Int_Tables_number 1
loop_
_symmetry_equiv_pos_as_xyz
'x,y,z'
loop_
_atom_site_label
_atom_site_fract_x
_atom_site_fract_y
_atom_site_fract_z
_atom_site_occupancy
La1 0.2213 0.1706 0.2441 1
La2 0.2213 0.3294 0.7441 1
La3 0.2230 0.6674 0.1152 1
La4 0.2230 0.8326 0.6152 1
La5 0.7770 0.1674 0.3848 1
La6 0.7770 0.3326 0.8848 1
La7 0.7787 0.6706 0.2559 1
La8 0.7787 0.8294 0.7559 1
Sn1 0.5000 0.0000 0.0000 1
Sn2 0.5000 0.5000 0.5000 1

# 4
# La5Sn4 PBE-GGA optimized geometry
# - distance to the lowest polymorph of the same formula (meV per atom) = 36
data_La5Sn4
_chemical_formula_sum 'La5 Sn4'
_cell_length_a 6.4432
_cell_length_b 6.4432
_cell_length_c 11.1201
_cell_angle_alpha 111.70
_cell_angle_beta 111.70
_cell_angle_gamma 44.24
_symmetry_space_group_name_H-M 'P 1'
_symmetry_Int_Tables_number 1
loop_
_symmetry_equiv_pos_as_xyz
'x,y,z'
loop_
_atom_site_label
_atom_site_fract_x
_atom_site_fract_y
_atom_site_fract_z
_atom_site_occupancy
La1 0.0000 0.0000 0.0000 1
La2 0.0928 0.0928 0.3898 1
La3 0.2501 0.2501 0.8346 1
La4 0.7499 0.7499 0.1654 1
La5 0.9072 0.9072 0.6102 1
Sn1 0.3667 0.3667 0.3886 1
Sn2 0.4502 0.4502 0.1641 1
Sn3 0.5498 0.5498 0.8359 1
Sn4 0.6333 0.6333 0.6114 1

# 5
# La3Sn PBE-GGA optimized geometry
# - distance to the lowest polymorph of the same formula (meV per atom) = 201
data_La3Sn
_chemical_formula_sum 'La3 Sn1'
_cell_length_a 5.6615
_cell_length_b 5.6615
_cell_length_c 5.6615
_cell_angle_alpha 60.00
_cell_angle_beta 60.00
_cell_angle_gamma 60.00
_symmetry_space_group_name_H-M 'P 1'
_symmetry_Int_Tables_number 1
loop_
_symmetry_equiv_pos_as_xyz
'x,y,z'
loop_
_atom_site_label
_atom_site_fract_x
_atom_site_fract_y
_atom_site_fract_z
_atom_site_occupancy
La1 0.0000 0.0000 0.0000 1
La2 0.2500 0.2500 0.2500 1
La3 0.7500 0.7500 0.7500 1
Sn1 0.5000 0.5000 0.5000 1

# 6
La2Sn | PBE-GGA | optimized geometry

```
data_La2Sn
_chemical_formula_sum 'La8 Sn4'
_cell_length_a 7.0850
_cell_length_b 5.1167
_cell_length_c 10.6945
_cell_angle_alpha 90.00
_cell_angle_beta 90.00
_cell_angle_gamma 90.00
_symmetry_space_group_name_H-M 'P 1'
_symmetry_Int_Tables_number 1
loop_
_symmetry_equiv_pos_as_xyz
'x,y,z'
loop_
_atom_site_label
_atom_site_fract_x
_atom_site_fract_y
_atom_site_fract_z
_atom_site_occupancy
La1 0.0875 0.2500 0.2009 1
La2 0.1734 0.2500 0.5567 1
La3 0.3266 0.7500 0.0567 1
La4 0.4125 0.7500 0.7009 1
La5 0.5875 0.2500 0.2991 1
La6 0.6734 0.2500 0.9433 1
La7 0.8266 0.7500 0.4433 1
La8 0.9125 0.7500 0.7991 1
Sn1 0.1954 0.2500 0.8760 1
Sn2 0.3046 0.7500 0.3760 1
Sn3 0.6954 0.2500 0.6240 1
Sn4 0.8046 0.7500 0.1240 1
```

no.,ΔH_f (0 K) (eV per formula unit)
1,-1.8
2,-6.5
3,-1.0
4,-6.8
5,-1.2
6,-1.9